DFT (PBE) results for a geometry-optimized CsTl5Pb2 structure.

Crystal system = tetragonal
Spin magnetization = 0.00 μB per formula unit
Formation energy = 11 meV/atom
Symmetry = I4/mcm
Calculated total energy = -2.50 eV per atom

Cell: 11.006 11.006 11.006 Å, 134.61 134.61 66.13°
Fractional coordinates of all 16 atoms:
Cs1 0.250 0.250 0.000
Cs2 0.750 0.750 0.000
Tl1 0.000 0.000 0.000
Tl2 0.043 0.543 0.824
Tl3 0.219 0.043 0.500
Tl4 0.281 0.781 0.824
Tl5 0.457 0.281 0.500
Tl6 0.500 0.500 0.000
Tl7 0.543 0.719 0.500
Tl8 0.719 0.219 0.176
Tl9 0.781 0.957 0.500
Tl10 0.957 0.457 0.176
Pb1 0.134 0.366 0.500
Pb2 0.366 0.866 0.233
Pb3 0.634 0.134 0.767
Pb4 0.866 0.634 0.500

***

DFT (PBE) results for a geometry-optimized Cs2Tl2Pb structure.

Crystal system = monoclinic
Spin magnetization = 0.00 μB per formula unit
Formation energy = -150 meV/atom
Symmetry = C2/c
Polymorph energy (0 for the lowest one) = 0.0 meV per atom
Calculated total energy = -2.18 eV per atom

Cell: 7.877 7.877 8.800 Å, 106.07 106.07 65.78°
Fractional coordinates of all 10 atoms:
Cs1 0.120 0.235 0.153
Cs2 0.235 0.120 0.653
Cs3 0.765 0.880 0.347
Cs4 0.880 0.765 0.847
Tl1 0.300 0.565 0.562
Tl2 0.435 0.700 0.938
Tl3 0.565 0.300 0.062
Tl4 0.700 0.435 0.438
Pb1 0.301 0.699 0.250
Pb2 0.699 0.301 0.750

***

DFT (PBE) results for a geometry-optimized Cs2Tl7Pb structure.

Crystal system = cubic
Spin magnetization = 0.00 μB per formula unit
Formation energy = 115 meV/atom
Symmetry = Fm-3m
Polymorph energy (0 for the lowest one) = 185.6 meV per atom
Calculated total energy = -2.08 eV per atom

Cell: 8.770 8.770 8.770 Å, 60.00 60.00 60.00°
Fractional coordinates of all 10 atoms:
Cs1 0.250 0.250 0.250
Cs2 0.750 0.750 0.750
Tl1 0.000 0.000 0.000
Tl2 0.251 0.251 0.749
Tl3 0.251 0.749 0.251
Tl4 0.251 0.749 0.749
Tl5 0.749 0.251 0.251
Tl6 0.749 0.251 0.749
Tl7 0.749 0.749 0.251
Pb1 0.500 0.500 0.500

***

DFT (PBE) results for a geometry-optimized CsTl3Pb3 structure.

Crystal system = hexagonal
Spin magnetization = 0.00 μB per formula unit
Formation energy = 75 meV/atom
Symmetry = P6_3/m
Polymorph energy (0 for the lowest one) = 103.0 meV per atom
Calculated total energy = -2.65 eV per atom

Cell: 9.950 9.950 6.010 Å, 90.00 90.00 120.00°
Fractional coordinates of all 14 atoms:
Cs1 0.333 0.667 0.250
Cs2 0.667 0.333 0.750
Tl1 0.094 0.546 0.750
Tl2 0.452 0.906 0.750
Tl3 0.454 0.548 0.750
Tl4 0.546 0.452 0.250
Tl5 0.548 0.094 0.250
Tl6 0.906 0.454 0.250
Pb1 0.111 0.887 0.750
Pb2 0.113 0.225 0.750
Pb3 0.225 0.111 0.250
Pb4 0.775 0.889 0.750
Pb5 0.887 0.775 0.250
Pb6 0.889 0.113 0.250